Ir2Se at its PBEsol-relaxed geometry, computed with meta-GGA SCAN.

Cell: 11.086 2.777 6.733 Å, 90.00 112.36 90.00°
Space group Cm (No. 8)
Symmetry-distinct sites (fractional):
Ir (0.000, 0.000, 0.000) (multiplicity 2)
Ir (0.025, 0.000, 0.428) (multiplicity 2)
Ir (0.149, 0.500, 0.807) (multiplicity 2)
Ir (0.329, 0.000, 0.105) (multiplicity 2)
Se (0.175, 0.500, 0.294) (multiplicity 2)
Se (0.413, 0.000, 0.647) (multiplicity 2)

Density: 16.05 g/cm3
Fermi-level density of states: 7.1 states/eV per cell
Uncorrected formation energy: 0.46 eV/atom
Calculated total energy: -643.6 eV/cell
Excess energy over the best structure of this formula in the dataset: 0.0 meV/atom

---

CaFe2Te at its PBEsol-relaxed geometry, computed with meta-GGA SCAN.

Cell: 4.011 4.445 4.833 Å, 90.00 90.00 90.00°
Space group Pmmm (No. 47)
Symmetry-distinct sites (fractional):
Ca (0.000, 0.000, 0.000) (multiplicity 1)
Fe (0.500, 0.500, 0.227) (multiplicity 2)
Te (0.500, 0.000, 0.500) (multiplicity 1)

Density: 5.38 g/cm3
Fermi-level density of states: 3.9 states/eV per cell
Uncorrected formation energy: 0.14 eV/atom
Calculated total energy: -82.6 eV/cell
Excess energy over the best structure of this formula in the dataset: 0.0 meV/atom

---

ReSi2Ni at its PBEsol-relaxed geometry, computed with meta-GGA SCAN.

Cell: 2.987 2.987 5.434 Å, 90.00 90.00 90.00°
Space group P4/mmm (No. 123)
Symmetry-distinct sites (fractional):
Re (0.000, 0.000, 0.000) (multiplicity 1)
Si (0.500, 0.500, 0.260) (multiplicity 2)
Ni (0.000, 0.000, 0.500) (multiplicity 1)

Density: 10.31 g/cm3
Fermi-level density of states: 2.1 states/eV per cell
Uncorrected formation energy: -0.27 eV/atom
Calculated total energy: -108.4 eV/cell

---

Ta2AlTlCr at its PBEsol-relaxed geometry, computed with meta-GGA SCAN.

Cell: 4.718 4.718 4.822 Å, 90.00 90.00 90.00°
Space group P4/mmm (No. 123)
Symmetry-distinct sites (fractional):
Ta (0.000, 0.500, 0.000) (multiplicity 2)
Al (0.000, 0.000, 0.000) (multiplicity 1)
Tl (0.000, 0.000, 0.500) (multiplicity 1)
Cr (0.500, 0.500, 0.500) (multiplicity 1)

Density: 9.98 g/cm3
Fermi-level density of states: 3.5 states/eV per cell
Calculated total energy: -224.3 eV/cell
ΔH_f (0 K): 1.480 eV per atom

---

AlCd2Cu at its PBEsol-relaxed geometry, computed with meta-GGA SCAN.

Cell: 2.908 2.908 8.221 Å, 90.00 90.00 90.00°
Space group P4/mmm (No. 123)
Symmetry-distinct sites (fractional):
Al (0.000, 0.000, 0.000) (multiplicity 1)
Cd (0.500, 0.500, 0.276) (multiplicity 2)
Cu (0.000, 0.000, 0.500) (multiplicity 1)

Density: 7.53 g/cm3
Fermi-level density of states: 1.3 states/eV per cell
Calculated total energy: -83.2 eV/cell
ΔH_f (0 K): 0.137 eV per atom

---

K2HgW at its PBEsol-relaxed geometry, computed with meta-GGA SCAN.

Cell: 9.589 2.894 9.559 Å, 90.00 92.67 90.00°
Space group Cm (No. 8)
Symmetry-distinct sites (fractional):
K (0.000, 0.000, 0.000) (multiplicity 2)
K (0.231, 0.000, 0.582) (multiplicity 2)
Hg (0.240, 0.500, 0.244) (multiplicity 2)
W (0.477, 0.000, 0.328) (multiplicity 2)

Density: 5.80 g/cm3
Fermi-level density of states: 6.2 states/eV per cell
Calculated total energy: -300.8 eV/cell
ΔH_f (0 K): 1.028 eV per atom

---

HfReTe2 at its PBEsol-relaxed geometry, computed with meta-GGA SCAN.

Cell: 4.544 4.544 17.628 Å, 90.00 90.00 90.00°
Space group I-42d (No. 122)
Symmetry-distinct sites (fractional):
Hf (0.000, 0.000, 0.000) (multiplicity 4)
Re (0.000, 0.000, 0.500) (multiplicity 4)
Te (0.229, 0.250, 0.625) (multiplicity 8)

Density: 11.31 g/cm3
Fermi-level density of states: 17.2 states/eV per cell
Uncorrected formation energy: 0.52 eV/atom
Calculated total energy: -824.8 eV/cell

---

YCd3O at its PBEsol-relaxed geometry, computed with meta-GGA SCAN.

Cell: 5.944 5.944 5.944 Å, 90.00 90.00 90.00°
Space group Pm-3m (No. 221)
Symmetry-distinct sites (fractional):
Y (0.000, 0.000, 0.000) (multiplicity 1)
Cd (0.000, 0.000, 0.500) (multiplicity 3)
O (0.500, 0.500, 0.500) (multiplicity 1)

Density: 3.50 g/cm3
Fermi-level density of states: 7.5 states/eV per cell
Uncorrected formation energy: 1.11 eV/atom
Calculated total energy: -119.8 eV/cell

---

> Which formula does entry 7 have?

HfReTe2

---

> The highest density belongs to which entry?

Ir2Se